[1]
A relaxed Pr2Sm3ScTe6 crystal. Source: Alexandria via LeMat-Bulk, functional PBE. Values from VASP.

Properties
**Raw formation energy**: -16.1 eV/f.u.
**DOS(E_F)**: 7.1 states/eV per cell
**Symmetry**: C2/m (12)

Structure (Quantum ESPRESSO input):
```
&SYSTEM
  ibrav = 0, nat = 12, ntyp = 4
/
ATOMIC_SPECIES
Pr 140.91 Pr.upf
Sm 150.36 Sm.upf
Sc 44.96 Sc.upf
Te 127.60 Te.upf
CELL_PARAMETERS angstrom
9.6502 -2.2035 0.0000
9.6502 2.2035 0.0000
-1.9320 0.0000 8.6890
ATOMIC_POSITIONS crystal
Pr 0.1693 0.1693 0.3340
Pr 0.8307 0.8307 0.6660
Sm 0.1764 0.1764 0.8373
Sm 0.5000 0.5000 0.5000
Sm 0.8236 0.8236 0.1627
Sc 0.5000 0.5000 0.0000
Te 0.0042 0.0042 0.7662
Te 0.3367 0.3367 0.4135
Te 0.3437 0.3437 0.9276
Te 0.6563 0.6563 0.0724
Te 0.6633 0.6633 0.5865
Te 0.9958 0.9958 0.2338
```


[2]
A relaxed TaCd2Mo crystal. Source: Alexandria via LeMat-Bulk, functional PBE. Values from VASP.

Properties
**ΔH_f (0 K)**: 7.47 kcal/mol of atoms
**DOS(E_F)**: 3.4 states/eV per cell
**Symmetry**: R3m (160)
**E above lowest polymorph**: 145 meV per atom

Structure (Quantum ESPRESSO input):
```
&SYSTEM
  ibrav = 0, nat = 4, ntyp = 3
/
ATOMIC_SPECIES
Ta 180.95 Ta.upf
Cd 112.41 Cd.upf
Mo 95.94 Mo.upf
CELL_PARAMETERS angstrom
1.4593 0.8425 10.2851
-1.4593 0.8425 10.2851
0.0000 -1.6850 10.2851
ATOMIC_POSITIONS crystal
Ta 0.0000 0.0000 0.0000
Cd 0.2488 0.2488 0.2488
Cd 0.4930 0.4930 0.4930
Mo 0.7456 0.7456 0.7456
```


[3]
A relaxed NiSnMo2N crystal. Source: Alexandria via LeMat-Bulk, functional PBE. Values from VASP.

Properties
**Raw formation energy**: -0.1 eV/f.u.
**DOS(E_F)**: 3.0 states/eV per cell
**Symmetry**: P4/mmm (123)

Structure (Quantum ESPRESSO input):
```
&SYSTEM
  ibrav = 0, nat = 5, ntyp = 4
/
ATOMIC_SPECIES
Ni 58.69 Ni.upf
Sn 118.71 Sn.upf
Mo 95.94 Mo.upf
N 14.01 N.upf
CELL_PARAMETERS angstrom
4.2232 0.0000 0.0000
0.0000 4.2232 0.0000
0.0000 0.0000 3.8742
ATOMIC_POSITIONS crystal
Ni 0.0000 0.0000 0.0000
Sn 0.5000 0.5000 0.0000
Mo 0.0000 0.5000 0.5000
Mo 0.5000 0.0000 0.5000
N 0.0000 0.0000 0.5000
```


[4]
A relaxed SrCuSi crystal. Source: Alexandria via LeMat-Bulk, functional PBE. Values from VASP.

Properties
**Raw formation energy**: 0.2 eV/f.u.
**DOS(E_F)**: 4.8 states/eV per cell
**Symmetry**: F-43m (216)

Structure (Quantum ESPRESSO input):
```
&SYSTEM
  ibrav = 0, nat = 3, ntyp = 3
/
ATOMIC_SPECIES
Sr 87.62 Sr.upf
Cu 63.55 Cu.upf
Si 28.09 Si.upf
CELL_PARAMETERS angstrom
0.0000 3.2826 3.2826
3.2826 0.0000 3.2826
3.2826 3.2826 0.0000
ATOMIC_POSITIONS crystal
Sr 0.0000 0.0000 0.0000
Cu 0.7500 0.7500 0.7500
Si 0.5000 0.5000 0.5000
```


[5]
A relaxed BaZrCo crystal. Source: Alexandria via LeMat-Bulk, functional PBE. Values from VASP.

Properties
**ΔH_f (0 K)**: 5.98 kcal/mol of atoms
**DOS(E_F)**: 3.2 states/eV per cell
**Symmetry**: I4mm (107)
**E above lowest polymorph**: 244 meV per atom

Structure (Quantum ESPRESSO input):
```
&SYSTEM
  ibrav = 0, nat = 3, ntyp = 3
/
ATOMIC_SPECIES
Ba 137.33 Ba.upf
Zr 91.22 Zr.upf
Co 58.93 Co.upf
CELL_PARAMETERS angstrom
-1.7123 1.7123 6.5829
1.7123 -1.7123 6.5829
1.7123 1.7123 -6.5829
ATOMIC_POSITIONS crystal
Ba 0.0000 0.0000 0.0000
Zr 0.2613 0.2613 0.0000
Co 0.6873 0.6873 0.0000
```


[6]
A relaxed SrMg2Ga2Ag2 crystal. Source: Alexandria via LeMat-Bulk, functional PBE. Values from VASP.

Properties
**ΔH_f (0 K)**: -6.09 kcal/mol of atoms
**DOS(E_F)**: 4.8 states/eV per cell
**Symmetry**: R-3m (166)

Structure (Quantum ESPRESSO input):
```
&SYSTEM
  ibrav = 0, nat = 7, ntyp = 4
/
ATOMIC_SPECIES
Sr 87.62 Sr.upf
Mg 24.30 Mg.upf
Ga 69.72 Ga.upf
Ag 107.87 Ag.upf
CELL_PARAMETERS angstrom
2.2968 1.3260 8.6251
-2.2968 1.3260 8.6251
0.0000 -2.6521 8.6251
ATOMIC_POSITIONS crystal
Sr 0.0000 0.0000 0.0000
Mg 0.1377 0.1377 0.1377
Mg 0.8623 0.8623 0.8623
Ga 0.2516 0.2516 0.2516
Ga 0.7484 0.7484 0.7484
Ag 0.4329 0.4329 0.4329
Ag 0.5671 0.5671 0.5671
```


[7]
A relaxed Ho14ErTh crystal. Source: Alexandria via LeMat-Bulk, functional PBE. Values from VASP.

Properties
**ΔH_f (0 K)**: 0.26 kcal/mol of atoms
**DOS(E_F)**: 20.7 states/eV per cell
**Symmetry**: Amm2 (38)

Structure (Quantum ESPRESSO input):
```
&SYSTEM
  ibrav = 0, nat = 16, ntyp = 3
/
ATOMIC_SPECIES
Ho 164.93 Ho.upf
Er 167.26 Er.upf
Th 232.04 Th.upf
CELL_PARAMETERS angstrom
11.4198 0.0000 0.0000
0.0000 3.5447 6.1385
0.0000 -3.5447 6.1385
ATOMIC_POSITIONS crystal
Ho 0.0000 0.0000 0.0000
Ho 0.0000 0.0007 0.4996
Ho 0.0000 0.4996 0.0007
Ho 0.0000 0.4997 0.4997
Ho 0.2491 0.3333 0.3333
Ho 0.2492 0.8319 0.8319
Ho 0.2495 0.3364 0.8319
Ho 0.2495 0.8319 0.3364
Ho 0.5000 0.1665 0.6667
Ho 0.5000 0.6667 0.1665
Ho 0.7505 0.3364 0.8319
Ho 0.7505 0.8319 0.3364
Ho 0.7509 0.3333 0.3333
Ho 0.7508 0.8319 0.8319
Er 0.5000 0.1665 0.1665
Th 0.5000 0.6668 0.6668
```


[8]
A relaxed Tb2ThAl crystal. Source: Alexandria via LeMat-Bulk, functional PBE. Values from VASP.

Properties
**ΔH_f (0 K)**: -0.78 kcal/mol of atoms
**DOS(E_F)**: 6.6 states/eV per cell
**Symmetry**: R3m (160)
**E above lowest polymorph**: 146 meV per atom

Structure (Quantum ESPRESSO input):
```
&SYSTEM
  ibrav = 0, nat = 4, ntyp = 3
/
ATOMIC_SPECIES
Tb 158.93 Tb.upf
Th 232.04 Th.upf
Al 26.98 Al.upf
CELL_PARAMETERS angstrom
1.7832 1.0295 10.5536
-1.7832 1.0295 10.5536
0.0000 -2.0591 10.5536
ATOMIC_POSITIONS crystal
Tb 0.0000 0.0000 0.0000
Tb 0.1876 0.1876 0.1876
Th 0.7604 0.7604 0.7604
Al 0.5942 0.5942 0.5942
```


[9]
A relaxed Tc2Ir crystal. Source: Alexandria via LeMat-Bulk, functional PBE. Values from VASP.

Properties
**ΔH_f (0 K)**: 18.43 kcal/mol of atoms
**DOS(E_F)**: 6.4 states/eV per cell
**Symmetry**: Pnnm (58)
**E above lowest polymorph**: 1011 meV per atom

Structure (Quantum ESPRESSO input):
```
&SYSTEM
  ibrav = 0, nat = 6, ntyp = 2
/
ATOMIC_SPECIES
Tc 98.00 Tc.upf
Ir 192.22 Ir.upf
CELL_PARAMETERS angstrom
3.8772 0.0000 0.0000
0.0000 6.5314 0.0000
0.0000 0.0000 4.1887
ATOMIC_POSITIONS crystal
Tc 0.1867 0.1297 0.0000
Tc 0.3133 0.6297 0.5000
Tc 0.6867 0.3703 0.5000
Tc 0.8133 0.8703 0.0000
Ir 0.0000 0.5000 0.0000
Ir 0.5000 0.0000 0.5000
```


[10]
A relaxed AcZn2GeO6 crystal. Source: Alexandria via LeMat-Bulk, functional PBE. Values from VASP.

Properties
**Raw formation energy**: -18.3 eV/f.u.
**Symmetry**: C2/c (15)

Structure (Quantum ESPRESSO input):
```
&SYSTEM
  ibrav = 0, nat = 20, ntyp = 4
/
ATOMIC_SPECIES
Ac 227.00 Ac.upf
Zn 65.41 Zn.upf
Ge 72.64 Ge.upf
O 16.00 O.upf
CELL_PARAMETERS angstrom
5.4537 -4.8177 0.0000
5.4537 4.8177 0.0000
-3.4230 0.0000 5.8215
ATOMIC_POSITIONS crystal
Ac 0.1782 0.8218 0.7500
Ac 0.8218 0.1782 0.2500
Zn 0.2732 0.3737 0.8729
Zn 0.3737 0.2732 0.3729
Zn 0.6263 0.7268 0.6271
Zn 0.7268 0.6263 0.1271
Ge 0.1745 0.8255 0.2500
Ge 0.8255 0.1745 0.7500
O 0.0482 0.1743 0.6947
O 0.1683 0.6397 0.9916
O 0.1743 0.0482 0.1947
O 0.2815 0.4491 0.6156
O 0.3603 0.8317 0.5084
O 0.4491 0.2815 0.1156
O 0.5509 0.7185 0.8844
O 0.6397 0.1683 0.4916
O 0.7185 0.5509 0.3844
O 0.8257 0.9518 0.8053
O 0.8317 0.3603 0.0084
O 0.9518 0.8257 0.3053
```


[11]
A relaxed Pr5Nd12Dy2 crystal. Source: Alexandria via LeMat-Bulk, functional PBE. Values from VASP.

Properties
**ΔH_f (0 K)**: 2.98 kcal/mol of atoms
**DOS(E_F)**: 28.7 states/eV per cell
**Symmetry**: C2/m (12)
**E above lowest polymorph**: 0 meV per atom

Structure (Quantum ESPRESSO input):
```
&SYSTEM
  ibrav = 0, nat = 19, ntyp = 3
/
ATOMIC_SPECIES
Pr 140.91 Pr.upf
Nd 144.24 Nd.upf
Dy 162.50 Dy.upf
CELL_PARAMETERS angstrom
11.3476 -3.6147 0.0000
11.3476 3.6147 0.0000
-3.0917 0.0000 8.3201
ATOMIC_POSITIONS crystal
Pr 0.0000 0.0000 0.0000
Pr 0.2482 0.2482 0.9890
Pr 0.3503 0.3503 0.4047
Pr 0.6497 0.6497 0.5953
Pr 0.7518 0.7518 0.0110
Nd 0.0522 0.5464 0.7065
Nd 0.1416 0.1416 0.5573
Nd 0.1512 0.6377 0.1170
Nd 0.3623 0.8488 0.8830
Nd 0.4517 0.4517 0.8044
Nd 0.4536 0.9478 0.2935
Nd 0.5464 0.0522 0.7065
Nd 0.5483 0.5483 0.1956
Nd 0.6377 0.1512 0.1170
Nd 0.8488 0.3623 0.8830
Nd 0.8584 0.8584 0.4427
Nd 0.9478 0.4536 0.2935
Dy 0.2576 0.7424 0.5000
Dy 0.7424 0.2576 0.5000
```


[12]
A relaxed SbPAuS2 crystal. Source: Alexandria via LeMat-Bulk, functional PBE. Values from VASP.

Properties
**Raw formation energy**: 3.7 eV/f.u.
**DOS(E_F)**: 3.9 states/eV per cell
**Symmetry**: P4/mmm (123)
**E above lowest polymorph**: 0 meV per atom

Structure (Quantum ESPRESSO input):
```
&SYSTEM
  ibrav = 0, nat = 5, ntyp = 4
/
ATOMIC_SPECIES
Sb 121.76 Sb.upf
P 30.97 P.upf
Au 196.97 Au.upf
S 32.06 S.upf
CELL_PARAMETERS angstrom
4.8889 0.0000 0.0000
0.0000 4.8889 0.0000
0.0000 0.0000 4.7029
ATOMIC_POSITIONS crystal
Sb 0.0000 0.0000 0.0000
P 0.5000 0.5000 0.0000
Au 0.5000 0.5000 0.5000
S 0.0000 0.5000 0.5000
S 0.5000 0.0000 0.5000
```


[13]
A relaxed CdPtCl2 crystal. Source: Alexandria via LeMat-Bulk, functional PBE. Values from VASP.

Properties
**Raw formation energy**: -0.5 eV/f.u.
**DOS(E_F)**: 1.7 states/eV per cell
**Symmetry**: Immm (71)
**E above lowest polymorph**: 314 meV per atom

Structure (Quantum ESPRESSO input):
```
&SYSTEM
  ibrav = 0, nat = 4, ntyp = 3
/
ATOMIC_SPECIES
Cd 112.41 Cd.upf
Pt 195.08 Pt.upf
Cl 35.45 Cl.upf
CELL_PARAMETERS angstrom
-1.6983 3.3671 4.8221
1.6983 -3.3671 4.8221
1.6983 3.3671 -4.8221
ATOMIC_POSITIONS crystal
Cd 0.0000 0.0000 0.0000
Pt 0.5000 0.5000 0.0000
Cl 0.3318 0.8318 0.5000
Cl 0.6682 0.1682 0.5000
```